Material: PuPaTc
Method: DFT, PBE
State: relaxed

Results
Size of the total moment ... 1.6983 μB per atom
Calculated density ... 15.75 g/cm3
Fermi-level density of states ... 6.4 states/eV/f.u.
Formation energy from the elements ... -0.46 eV per formula unit

Unit cell a=3.4279 b=3.4279 c=5.6841 alpha=107.55 beta=107.55 gamma=90.00
Site moments in Bohr magnetons follow the coordinates.
Sites, in units of the cell vectors:
Tc1 0.6713 0.6713 0.3426  -0.26
Pa1 0.3297 0.3297 0.6595  0.39
Pu1 0.9989 0.9989 0.9979  4.86